Compound: BaMoSN2
Source: the Alexandria database
Functional: PBE-GGA
Structure: optimized geometry

```
BaMoSN2
1.0
4.3827 0.0000 0.0000
0.0000 4.3827 0.0000
0.0000 0.0000 6.2167
S Mo Ba N
1 1 1 2
Cartesian
0.0000 0.0000 3.1084
2.1914 2.1914 3.1084
0.0000 0.0000 0.0000
0.0000 2.1914 0.0000
2.1914 0.0000 0.0000
```

Calculated values
**Symmetry**: P4/mmm (123)
**E above lowest polymorph**: 60.60 kcal/mol of atoms
**Energy relative to the elements, uncorrected**: 2.156 eV per atom